Record 1
Density functional theory data (PBE-GGA) for ZnMo2H after structural relaxation.

Output
Crystal system: tetragonal
Energy above the most stable polymorph in this dataset, eV/atom: 0.595

Cell and atoms, written as CIF:
```
data_ZnMo2H
_chemical_formula_sum 'Zn4 Mo8 H4'
_symmetry_space_group_name_H-M 'I 41/a m d'
_symmetry_Int_Tables_number 141
_cell_length_a 5.045
_cell_length_b 5.045
_cell_length_c 9.384
_cell_angle_alpha 90.00
_cell_angle_beta 90.00
_cell_angle_gamma 90.00
loop_
_symmetry_equiv_pos_as_xyz
'x,y,z'
'-x,-y,-z'
'-y+1/4,x+3/4,z+1/4'
'y+1/4,-x+3/4,-z+1/4'
'-x+1/2,-y,z+1/2'
'x+1/2,y,-z+1/2'
'y+1/4,-x+1/4,z+3/4'
'-y+1/4,x+1/4,-z+3/4'
'x,-y,-z'
'-x,y,z'
'-y+1/4,-x+1/4,-z+3/4'
'y+1/4,x+1/4,z+3/4'
'-x+1/2,y,-z+1/2'
'x+1/2,-y,z+1/2'
'y+1/4,x+3/4,-z+1/4'
'-y+1/4,-x+3/4,z+1/4'
'x+1/2,y+1/2,z+1/2'
'-x+1/2,-y+1/2,-z+1/2'
'-y+3/4,x+1/4,z+3/4'
'y+3/4,-x+1/4,-z+3/4'
'-x,-y+1/2,z'
'x,y+1/2,-z'
'y+3/4,-x+3/4,z+1/4'
'-y+3/4,x+3/4,-z+1/4'
'x+1/2,-y+1/2,-z+1/2'
'-x+1/2,y+1/2,z+1/2'
'-y+3/4,-x+3/4,-z+1/4'
'y+3/4,x+3/4,z+1/4'
'-x,y+1/2,-z'
'x,-y+1/2,z'
'y+3/4,x+1/4,-z+3/4'
'-y+3/4,-x+1/4,z+3/4'
loop_
_atom_site_label
_atom_site_fract_x
_atom_site_fract_y
_atom_site_fract_z
Zn1 0.000 0.250 0.375
Mo1 0.000 0.000 0.000
H1 0.000 0.250 0.875
```

Record 2
Density functional theory data (PBE-GGA) for Sr3MgCd8 after structural relaxation.

Output
Crystal system: trigonal
Energy of formation from the pure elements, eV per formula unit: -2.877

Cell and atoms, written as CIF:
```
data_Sr3MgCd8
_chemical_formula_sum 'Sr9 Mg3 Cd24'
_symmetry_space_group_name_H-M 'R 3 m'
_symmetry_Int_Tables_number 160
_symmetry_space_group_name_Hall 'R 3 -2"'
_cell_length_a 6.1125
_cell_length_b 6.1125
_cell_length_c 30.1896
_cell_angle_alpha 90.00
_cell_angle_beta 90.00
_cell_angle_gamma 120.00
loop_
_atom_site_label
_atom_site_fract_x
_atom_site_fract_y
_atom_site_fract_z
Sr1 0.0000 0.0000 0.0000
Sr2 0.0000 0.0000 0.1271
Sr3 0.0000 0.0000 0.5078
Mg1 0.0000 0.0000 0.6308
Cd1 0.0000 0.0000 0.3151
Cd2 0.0000 0.0000 0.8160
Cd3 0.0010 0.5005 0.5664
Cd4 0.1673 0.3346 0.3977
```

Record 3
Density functional theory data (PBE-GGA) for CaNd14Y after structural relaxation.

Output
Crystal system: orthorhombic
Energy of formation from the pure elements, eV per formula unit: 0.647

Cell and atoms, written as CIF:
```
data_CaNd14Y
_chemical_formula_sum 'Ca2 Nd28 Y2'
_symmetry_space_group_name_H-M 'A m m 2'
_symmetry_Int_Tables_number 38
_symmetry_space_group_name_Hall 'A 2 -2'
_cell_length_a 11.898
_cell_length_b 7.455
_cell_length_c 12.883
_cell_angle_alpha 90.00
_cell_angle_beta 90.00
_cell_angle_gamma 90.00
loop_
_atom_site_label
_atom_site_fract_x
_atom_site_fract_y
_atom_site_fract_z
Ca1 0.000 0.000 0.000
Nd1 0.000 0.248 0.749
Nd2 0.247 0.000 0.668
Nd3 0.251 0.000 0.170
Nd4 0.251 0.246 0.416
Nd5 0.500 0.000 0.001
Nd6 0.500 0.000 0.501
Nd7 0.500 0.250 0.250
Y1 0.000 0.000 0.500
```

Record 4
Density functional theory data (PBE-GGA) for SrNd2Ag after structural relaxation.

Output
Crystal system: tetragonal
Energy above the most stable polymorph in this dataset, eV/atom: 0.000
Energy of formation from the pure elements, eV per formula unit: -0.024

Cell and atoms, written as CIF:
```
data_SrNd2Ag
_chemical_formula_sum 'Sr1 Nd2 Ag1'
_symmetry_space_group_name_H-M 'P 4/m m m'
_symmetry_Int_Tables_number 123
_symmetry_space_group_name_Hall '-P 4 2'
_cell_length_a 3.837
_cell_length_b 3.837
_cell_length_c 9.579
_cell_angle_alpha 90.00
_cell_angle_beta 90.00
_cell_angle_gamma 90.00
loop_
_atom_site_label
_atom_site_fract_x
_atom_site_fract_y
_atom_site_fract_z
Sr1 0.000 0.000 0.000
Nd1 0.500 0.500 0.317
Ag1 0.000 0.000 0.500
```

Record 5
Density functional theory data (PBE-GGA) for ScHgI3 after structural relaxation.

Output
Crystal system: monoclinic
Energy above the most stable polymorph in this dataset, eV/atom: 0.068
Energy relative to the elements, uncorrected, eV per atom: -0.90

Cell and atoms, written as CIF:
```
data_ScHgI3
_chemical_formula_sum 'Sc4 Hg4 I12'
_symmetry_space_group_name_H-M 'C 1 2/m 1'
_symmetry_Int_Tables_number 12
_symmetry_space_group_name_Hall '-C 2y'
_cell_length_a 23.364
_cell_length_b 4.036
_cell_length_c 11.167
_cell_angle_alpha 90.00
_cell_angle_beta 110.49
_cell_angle_gamma 90.00
loop_
_atom_site_label
_atom_site_fract_x
_atom_site_fract_y
_atom_site_fract_z
Sc1 0.087 0.000 0.331
Hg1 0.199 0.500 0.895
I1 0.008 0.500 0.741
I2 0.130 0.000 0.142
I3 0.159 0.500 0.505
```

Record 6
Density functional theory data (PBE-GGA) for MnSi4Ir after structural relaxation.

Output
Crystal system: cubic
Energy relative to the elements, uncorrected, eV per atom: 0.43

Cell and atoms, written as CIF:
```
data_MnSi4Ir
_chemical_formula_sum 'Mn4 Si16 Ir4'
_symmetry_space_group_name_H-M 'F -4 3 m'
_symmetry_Int_Tables_number 216
_symmetry_space_group_name_Hall 'F -4 2 3'
_cell_length_a 6.902
_cell_length_b 6.902
_cell_length_c 6.902
_cell_angle_alpha 90.00
_cell_angle_beta 90.00
_cell_angle_gamma 90.00
loop_
_atom_site_label
_atom_site_fract_x
_atom_site_fract_y
_atom_site_fract_z
Mn1 0.000 0.000 0.000
Si1 0.125 0.125 0.625
Ir1 0.250 0.250 0.250
```

Record 7
Density functional theory data (PBE-GGA) for AcPmPr2 after structural relaxation.

Output
Crystal system: tetragonal
Energy above the most stable polymorph in this dataset, eV/atom: 0.005
Energy of formation from the pure elements, eV per formula unit: 0.100

Cell and atoms, written as CIF:
```
data_AcPmPr2
_chemical_formula_sum 'Ac1 Pm1 Pr2'
_symmetry_space_group_name_H-M 'P 4/m m m'
_symmetry_Int_Tables_number 123
_symmetry_space_group_name_Hall '-P 4 2'
_cell_length_a 3.793
_cell_length_b 3.793
_cell_length_c 10.541
_cell_angle_alpha 90.00
_cell_angle_beta 90.00
_cell_angle_gamma 90.00
loop_
_atom_site_label
_atom_site_fract_x
_atom_site_fract_y
_atom_site_fract_z
Ac1 0.000 0.000 0.000
Pm1 0.000 0.000 0.500
Pr1 0.500 0.500 0.262
```